<a>
Below is a geometry-optimized Pm6CdCo2 structure, with properties calculated at the PBE level.

It has space group C2/m (No. 12), with a = 10.280 Å, b = 5.128 Å, c = 9.164 Å, α = 90.00°, β = 102.08° and γ = 90.00°. Symmetry generates all atoms from Pm at (0.033, 0.000, 0.348), Pm at (0.164, 0.500, 0.877), Pm at (0.207, 0.500, 0.339), Cd at (0.000, 0.000, 0.000) and Co at (0.111, 0.500, 0.588).

The volume is 26.24 Å³ per atom. The calculation puts the density of states at the Fermi level at 1.048 states/eV per atom. The calculation puts the magnetic moment at 0.000 μB per atom.

<b>
Below is a geometry-optimized Pm6CdCo2 structure, with properties calculated at the PBE level.

It has space group Immm (No. 71), with a = 9.540 Å, b = 9.984 Å, c = 10.188 Å, α = 90.00°, β = 90.00° and γ = 90.00°. Symmetry generates all atoms from Pm at (0.000, 0.204, 0.234), Pm at (0.187, 0.500, 0.177), Pm at (0.215, 0.318, 0.500), Cd at (0.000, 0.000, 0.000), Cd at (0.000, 0.000, 0.500), Co at (0.000, 0.338, 0.000) and Co at (0.000, 0.500, 0.388).

The volume is 26.95 Å³ per atom. The calculation puts the density of states at the Fermi level at 0.941 states/eV per atom. The calculation puts the magnetic moment at 0.000 μB per atom.

Here is how they stack up, most stable first: <b>, <a>.

<a>
Below is a geometry-optimized Pm4CdCo structure, with properties calculated at the PBE level.

It has space group P4/mmm (No. 123), with a = 4.858 Å, b = 4.858 Å, c = 7.758 Å, α = 90.00°, β = 90.00° and γ = 90.00°. Symmetry generates all atoms from Pm at (0.000, 0.500, 0.211), Cd at (0.000, 0.000, 0.500) and Co at (0.500, 0.500, 0.000).

The volume is 30.51 Å³ per atom. The calculation puts the density of states at the Fermi level at 1.332 states/eV per atom. The calculation puts the magnetic moment at 0.000 μB per atom.

<b>
Below is a geometry-optimized Pm4CdCo structure, with properties calculated at the PBE level.

It has space group F-43m (No. 216), with a = 13.775 Å, b = 13.775 Å, c = 13.775 Å, α = 90.00°, β = 90.00° and γ = 90.00°. Symmetry generates all atoms from Pm at (0.000, 0.000, 0.189), Pm at (0.061, 0.250, 0.250), Pm at (0.153, 0.153, 0.653), Cd at (0.080, 0.080, 0.420) and Co at (0.141, 0.141, 0.859).

The volume is 27.23 Å³ per atom. The calculation puts the density of states at the Fermi level at 0.758 states/eV per atom. The calculation puts the magnetic moment at 0.000 μB per atom.

Here is how they stack up, most stable first: <b>, <a>.

<a>
Below is a geometry-optimized Pm2CdCo structure, with properties calculated at the PBE level.

It has space group Fm-3m (No. 225), with a = 7.316 Å, b = 7.316 Å, c = 7.316 Å, α = 90.00°, β = 90.00° and γ = 90.00°. Symmetry generates all atoms from Pm at (0.250, 0.250, 0.250), Cd at (0.000, 0.000, 0.000) and Co at (0.000, 0.000, 0.500).

The volume is 24.48 Å³ per atom. The calculation puts the density of states at the Fermi level at 0.746 states/eV per atom. The calculation puts the magnetic moment at 0.148 μB per atom.

<b>
Below is a geometry-optimized Pm2CdCo structure, with properties calculated at the PBE level.

It has space group P4/mmm (No. 123), with a = 3.521 Å, b = 3.521 Å, c = 7.847 Å, α = 90.00°, β = 90.00° and γ = 90.00°. Symmetry generates all atoms from Pm at (0.000, 0.000, 0.213), Cd at (0.500, 0.500, 0.500) and Co at (0.500, 0.500, 0.000).

The volume is 24.33 Å³ per atom. The calculation puts the density of states at the Fermi level at 0.806 states/eV per atom. The calculation puts the magnetic moment at 0.176 μB per atom.

Here is how they stack up, most stable first: <b>, <a>.

<a>
Below is a geometry-optimized Pr8CdCo2 structure, with properties calculated at the PBE level.

It has space group C2/m (No. 12), with a = 12.749 Å, b = 8.337 Å, c = 6.504 Å, α = 90.00°, β = 92.37° and γ = 90.00°. Symmetry generates all atoms from Pr at (0.112, 0.000, 0.193), Pr at (0.131, 0.500, 0.086), Pr at (0.150, 0.217, 0.681), Cd at (0.000, 0.500, 0.500) and Co at (0.217, 0.500, 0.510).

The volume is 31.40 Å³ per atom. The calculation puts the density of states at the Fermi level at 1.153 states/eV per atom. The calculation puts the magnetic moment at 0.000 μB per atom.

<b>
Below is a geometry-optimized Pr8CdCo2 structure, with properties calculated at the PBE level.

It has space group Cm (No. 8), with a = 8.608 Å, b = 13.973 Å, c = 5.693 Å, α = 90.00°, β = 104.29° and γ = 90.00°. Symmetry generates all atoms from Pr at (0.000, 0.000, 0.000), Pr at (0.103, 0.254, 0.804), Pr at (0.205, 0.000, 0.607), Pr at (0.313, 0.372, 0.365), Pr at (0.393, 0.128, 0.243), Cd at (0.103, 0.500, 0.804) and Co at (0.103, 0.212, 0.304).

The volume is 30.16 Å³ per atom. The calculation puts the density of states at the Fermi level at 1.291 states/eV per atom. The calculation puts the magnetic moment at 0.000 μB per atom.

Here is how they stack up, most stable first: <a>, <b>.